Entry 1:
{"formula": "Pm2GeTe5", "functional": "PBE", "state": "optimized geometry", "magnetic_moment_mub_per_cell": 0.00, "spacegroup": "Cmcm", "e_form_raw_ev_per_atom": -0.79, "cell": [[6.2832, 0.0000, 0.0000], [-3.1416, 7.5507, 0.0000], [0.0000, 0.0000, 13.6200]], "species": ["Pm", "Pm", "Pm", "Pm", "Ge", "Ge", "Te", "Te", "Te", "Te", "Te", "Te", "Te", "Te", "Te", "Te"], "frac_coords": [[0.8269, 0.6538, 0.4254], [0.8269, 0.6538, 0.0746], [0.1731, 0.3462, 0.5746], [0.1731, 0.3462, 0.9254], [0.8013, 0.6025, 0.7500], [0.1987, 0.3975, 0.2500], [0.9678, 0.9356, 0.9011], [0.9678, 0.9356, 0.5989], [0.3163, 0.6326, 0.4070], [0.3163, 0.6326, 0.0930], [0.6987, 0.3974, 0.2500], [0.3013, 0.6026, 0.7500], [0.6837, 0.3674, 0.5930], [0.6837, 0.3674, 0.9070], [0.0322, 0.0644, 0.0989], [0.0322, 0.0644, 0.4011]]}

Entry 2:
{"formula": "Pr2BF", "functional": "PBE", "state": "optimized geometry", "magnetic_moment_mub_per_cell": 0.00, "spacegroup": "R-3m", "e_form_raw_ev_per_atom": -1.24, "cell": [[3.9214, 0.0000, 0.0000], [1.9607, 3.3961, 0.0000], [1.9607, 1.1320, 6.1933]], "species": ["Pr", "Pr", "B", "F"], "frac_coords": [[0.7465, 0.7465, 0.7605], [0.2535, 0.2535, 0.2395], [0.0000, 0.0000, 0.0000], [0.5000, 0.5000, 0.5000]]}